The following is a PBE-GGA calculation of a geometry-optimized Ac2ErAs4Pt3 structure, from the Alexandria database.

Structure (POSCAR):
```
Ac2ErAs4Pt3
1.0
-3.9063 0.7835 -2.1849
-1.2783 -4.2963 0.7449
-4.6236 2.9951 9.3404
As Pt Ac Er
4 3 2 1
direct
0.5000 0.0000 0.6500
0.0000 0.5000 0.3500
0.0000 0.0000 0.0000
0.5000 0.5000 0.0000
0.5000 0.0000 0.8883
0.0000 0.5000 0.1117
0.0000 0.0000 0.5000
0.0000 0.5000 0.7743
0.5000 0.0000 0.2257
0.5000 0.5000 0.5000
```

Computed properties:
The calculation puts the energy at -5.9771 eV per atom. Its space group is P-4m2. As for the formation energy: -1.03 eV/atom. For the spin magnetization, the calculation gives 0.00 μB per formula unit.